Here is a relaxed NiSn3O crystal from Alexandria. Energies are from PBE with a Hubbard U.

Unit cell a=4.818 b=4.818 c=4.818 alpha=90.00 beta=90.00 gamma=90.00
Atoms (fractional coordinates):
Sn (0.500, 0.000, 0.000)
Sn (0.000, 0.000, 0.500)
Sn (0.000, 0.500, 0.000)
O (0.500, 0.500, 0.500)
Ni (0.000, 0.000, 0.000)

* E: -3.45 eV per atom